Entry 1:
A relaxed structure of YMgOs2. Source: Alexandria, functional GGA-PBE.

Cell: 2.918 3.623 7.486 Å, 90.00 90.00 90.00°
Element x y z (fractional)
Os 0.000 0.000 0.042
Mg 0.500 0.500 0.805
Y 0.000 0.000 0.465
Os 0.500 0.500 0.188

VASP energy: -29.85 eV per cell
Density of states at the Fermi level: 4.1 states/eV per cell
M_tot: 0.000 μB per formula unit
Crystal system: orthorhombic
Mass density: 10.358 g/cm3

---

Entry 2:
A relaxed structure of TbSc2In. Source: Alexandria, functional GGA-PBE.

Cell: 3.253 6.387 9.950 Å, 90.00 90.00 104.75°
Element x y z (fractional)
Tb 0.265 0.530 0.250
In 0.998 0.996 0.250
Sc 0.628 0.255 0.476
In 0.002 0.004 0.750
Tb 0.735 0.470 0.750
Sc 0.372 0.745 0.524
Sc 0.628 0.255 0.024
Sc 0.372 0.745 0.976

VASP energy: -41.03 eV per cell
Density of states at the Fermi level: 11.1 states/eV per cell
M_tot: 0.001 μB per formula unit
Crystal system: orthorhombic
Mass density: 6.041 g/cm3

---

Entry 3:
A relaxed structure of PmHo2Al. Source: Alexandria, functional GGA-PBE.

Cell: 5.302 6.887 6.887 Å, 119.92 90.00 90.00°
Element x y z (fractional)
Ho 0.000 0.826 0.174
Ho 0.000 0.826 0.648
Ho 0.000 0.352 0.174
Pm 0.500 0.177 0.353
Al 0.500 0.668 0.332
Pm 0.500 0.647 0.823
Al 0.000 0.329 0.671
Ho 0.500 0.175 0.825

VASP energy: -36.81 eV per cell
Density of states at the Fermi level: 8.1 states/eV per cell
M_tot: 0.000 μB per formula unit
Crystal system: orthorhombic
Mass density: 7.646 g/cm3

---

Entry 4:
A relaxed structure of TiPtO2F. Source: Alexandria, functional GGA-PBE.

Cell: 4.012 4.012 4.206 Å, 90.00 90.00 90.00°
Element x y z (fractional)
Pt 0.000 0.000 0.000
O 0.500 0.000 0.000
Ti 0.500 0.500 0.500
F 0.000 0.000 0.500
O 0.000 0.500 0.000

VASP energy: -27.21 eV per cell
Density of states at the Fermi level: 7.7 states/eV per cell
M_tot: 0.001 μB per formula unit
Crystal system: tetragonal
Mass density: 7.208 g/cm3

---

Entry 5:
A relaxed structure of SbI2Cl3F6. Source: Alexandria, functional GGA-PBE.

Cell: 5.755 7.682 9.127 Å, 114.89 121.74 90.00°
Element x y z (fractional)
Cl 0.500 0.500 0.500
F 0.693 0.938 0.875
F 0.247 0.730 0.815
F 0.307 0.062 0.125
Cl 0.000 0.500 0.000
Cl 0.500 0.000 0.500
F 0.753 0.270 0.185
F 0.247 0.085 0.815
F 0.753 0.915 0.185
I 0.130 0.679 0.357
Sb 0.500 0.000 0.000
I 0.870 0.321 0.643

VASP energy: -40.04 eV per cell
Density of states at the Fermi level: 0.0 states/eV per cell
M_tot: 0.000 μB per formula unit
Crystal system: monoclinic
Mass density: 3.318 g/cm3

---

Entry 6:
A relaxed structure of NaVSiPb2. Source: Alexandria, functional GGA-PBE.

Cell: 5.387 5.156 5.387 Å, 90.00 90.00 90.00°
Element x y z (fractional)
Na 0.000 0.500 0.000
Si 0.000 0.000 0.000
Pb 0.500 0.000 0.000
Pb 0.000 0.000 0.500
V 0.500 0.500 0.500

VASP energy: -17.27 eV per cell
Density of states at the Fermi level: 8.8 states/eV per cell
M_tot: 0.168 μB per formula unit
Crystal system: tetragonal
Mass density: 5.731 g/cm3